{"formula": "Mg4P2Ru5", "functional": "SCAN", "state": "PBEsol geometry", "formation_enthalpy_0k_ev_per_atom": -0.4373, "cell": [[8.879, 0.000, 0.000], [0.000, 11.907, 0.000], [0.000, 0.000, 3.063]], "species": ["Mg", "Mg", "Mg", "Mg", "Mg", "Mg", "Mg", "Mg", "P", "P", "P", "P", "Ru", "Ru", "Ru", "Ru", "Ru", "Ru", "Ru", "Ru", "Ru", "Ru"], "fractional_positions": [[0.016, 0.131, 0.000], [0.143, 0.345, 0.000], [0.357, 0.845, 0.000], [0.484, 0.631, 0.000], [0.516, 0.369, 0.000], [0.643, 0.155, 0.000], [0.857, 0.655, 0.000], [0.984, 0.869, 0.000], [0.176, 0.579, 0.000], [0.324, 0.079, 0.000], [0.676, 0.921, 0.000], [0.824, 0.421, 0.000], [0.000, 0.500, 0.500], [0.158, 0.718, 0.500], [0.180, 0.986, 0.500], [0.320, 0.486, 0.500], [0.342, 0.218, 0.500], [0.500, 0.000, 0.500], [0.658, 0.782, 0.500], [0.680, 0.514, 0.500], [0.820, 0.014, 0.500], [0.842, 0.282, 0.500]]}

{"formula": "MgPRuS2", "functional": "SCAN", "state": "PBEsol geometry", "raw_formation_energy_ev_per_atom": 1.01, "cell": [[4.549, 0.000, 0.000], [0.000, 4.549, 0.000], [0.000, 0.000, 4.689]], "species": ["Mg", "P", "Ru", "S", "S"], "fractional_positions": [[0.000, 0.000, 0.000], [0.000, 0.000, 0.500], [0.500, 0.500, 0.500], [0.000, 0.500, 0.000], [0.500, 0.000, 0.000]]}

{"formula": "MgP2S2", "functional": "SCAN", "state": "PBEsol geometry", "raw_formation_energy_ev_per_atom": 0.95, "cell": [[4.591, 0.000, 0.000], [0.000, 4.591, 0.000], [0.000, 0.000, 4.772]], "species": ["Mg", "P", "P", "S", "S"], "fractional_positions": [[0.000, 0.000, 0.000], [0.000, 0.000, 0.500], [0.500, 0.500, 0.500], [0.000, 0.500, 0.000], [0.500, 0.000, 0.000]]}

{"formula": "MgScPS2", "functional": "SCAN", "state": "PBEsol geometry", "raw_formation_energy_ev_per_atom": -0.43, "cell": [[4.825, 0.000, 0.000], [0.000, 4.825, 0.000], [0.000, 0.000, 4.881]], "species": ["Mg", "Sc", "P", "S", "S"], "fractional_positions": [[0.000, 0.000, 0.000], [0.500, 0.500, 0.500], [0.500, 0.500, 0.000], [0.000, 0.500, 0.500], [0.500, 0.000, 0.500]]}

{"formula": "Mg2SiPS", "functional": "SCAN", "state": "PBEsol geometry", "raw_formation_energy_ev_per_atom": 0.21, "cell": [[4.692, 0.000, 0.000], [0.000, 4.692, 0.000], [0.000, 0.000, 4.652]], "species": ["Mg", "Mg", "Si", "P", "S"], "fractional_positions": [[0.000, 0.500, 0.000], [0.500, 0.000, 0.000], [0.000, 0.000, 0.500], [0.500, 0.500, 0.500], [0.000, 0.000, 0.000]]}

{"formula": "MgTiP2S", "functional": "SCAN", "state": "PBEsol geometry", "raw_formation_energy_ev_per_atom": -0.17, "cell": [[4.690, 0.000, 0.000], [0.000, 4.690, 0.000], [0.000, 0.000, 4.592]], "species": ["Mg", "Ti", "P", "P", "S"], "fractional_positions": [[0.000, 0.000, 0.000], [0.500, 0.500, 0.500], [0.000, 0.500, 0.500], [0.500, 0.000, 0.500], [0.500, 0.500, 0.000]]}

| no. | raw total energy (eV/cell) |
| --- | --- |
| 1 | -439.3 |
| 2 | -64.4 |
| 3 | -40.3 |
| 4 | -51.0 |
| 5 | -38.9 |
| 6 | -52.3 |